1.
Computed, not measured: crystalline KTlMoH2 at its relaxed geometry at the PBE level of DFT.

**Raw total energy**: -3.113 eV per atom
**Crystal system**: tetragonal

a = 4.2329 Å, b = 4.2329 Å, c = 6.1665 Å
α = 90.00°, β = 90.00°, γ = 90.00°
Last column: nearest neighbours and their distance in Å.
Space group P4/mmm (No. 123)
Symmetry-distinct sites (fractional):
1 K 0.0000 0.0000 0.0000 [1 per cell]  4 Tl 2.99, 2 Mo 3.08
2 Tl 0.5000 0.5000 0.0000 [1 per cell]  4 K 2.99
3 Mo 0.0000 0.0000 0.5000 [1 per cell]  4 H 2.12
4 H 0.0000 0.5000 0.5000 [2 per cell]  2 Mo 2.12

---

2.
Computed, not measured: crystalline ZrTcMo2 at its relaxed geometry at the PBE level of DFT.

**Polymorph energy (0 for the lowest one)**: 0.0921 eV per atom
**E_form**: -29 meV/atom
**Crystal system**: cubic

a = 6.4306 Å, b = 6.4306 Å, c = 6.4306 Å
α = 90.00°, β = 90.00°, γ = 90.00°
Last column: nearest neighbours and their distance in Å.
Space group Fm-3m (No. 225)
Symmetry-distinct sites (fractional):
1 Zr 0.0000 0.0000 0.0000 [4 per cell]  8 Mo 2.78
2 Tc 0.0000 0.0000 0.5000 [4 per cell]  8 Mo 2.78
3 Mo 0.2500 0.2500 0.2500 [8 per cell]  4 Zr 2.78, 4 Tc 2.78

---

3.
Computed, not measured: crystalline NbZnTe2I at its relaxed geometry at the PBE level of DFT.

**Polymorph energy (0 for the lowest one)**: 0.0000 eV per atom
**Crystal system**: tetragonal

a = 5.4096 Å, b = 5.4096 Å, c = 5.7740 Å
α = 90.00°, β = 90.00°, γ = 90.00°
Last column: nearest neighbours and their distance in Å.
Space group P4/mmm (No. 123)
Symmetry-distinct sites (fractional):
1 Nb 0.0000 0.0000 0.0000 [1 per cell]  4 Te 2.70, 2 I 2.89
2 Zn 0.5000 0.5000 0.5000 [1 per cell]  4 I 3.83, 8 Te 3.96
3 Te 0.0000 0.5000 0.0000 [2 per cell]  2 Nb 2.70
4 I 0.0000 0.0000 0.5000 [1 per cell]  2 Nb 2.89

---

4.
Computed, not measured: crystalline Sn2SBr at its relaxed geometry at the PBE level of DFT.

**Polymorph energy (0 for the lowest one)**: 0.2281 eV per atom
**Crystal system**: tetragonal

a = 5.6715 Å, b = 5.6715 Å, c = 16.9001 Å
α = 90.00°, β = 90.00°, γ = 90.00°
Last column: nearest neighbours and their distance in Å.
Space group I-42d (No. 122)
Symmetry-distinct sites (fractional):
1 Sn 0.1829 0.2500 0.1250 [8 per cell]  2 S 2.75
2 S 0.0000 0.0000 0.0000 [4 per cell]  4 Sn 2.75
3 Br 0.0000 0.0000 0.5000 [4 per cell]  4 Sn 3.12

---

Density of states at the Fermi level values, unit states/eV/cell, following the record order: 2.22, 8.15, 2.00, 14.31.